Computed, not measured: an optimized crystal structure of NiAgMoAu at the PBE level of DFT.

Cell lengths 6.3119, 6.3119, 6.3119 Å; angles 90.00, 90.00, 90.00 degrees
Closest atoms and distances in Å follow each position.
Space group F-43m (No. 216)
Unique sites:
1 Ni 0.0000 0.0000 0.0000 [4 per cell]  4 Mo 2.73, 4 Ag 2.73
2 Ag 0.2500 0.2500 0.7500 [4 per cell]  4 Ni 2.73, 4 Au 2.73
3 Mo 0.2500 0.2500 0.2500 [4 per cell]  4 Au 2.73, 4 Ni 2.73
4 Au 0.0000 0.0000 0.5000 [4 per cell]  4 Mo 2.73, 4 Ag 2.73

Properties
Theoretical density, g/cm3: 12.136
Formation enthalpy at 0 K, kJ/mol of atoms: 40
E above lowest polymorph, meV per atom: 0